A | This record from the Alexandria database describes a relaxed La6Nd3Hg crystal. The functional is PBE.

a b c (Å): 10.6398 12.2044 5.5169
angles (deg): 90.00 90.00 90.00
Fractional positions:
La: 0.0701 0.2494 0.0000
La: 0.1685 0.0789 0.5000
La: 0.2156 0.3863 0.5000
La: 0.2844 0.8863 0.0000
La: 0.3315 0.5789 0.0000
La: 0.4299 0.7494 0.5000
La: 0.5701 0.2506 0.5000
La: 0.6685 0.4211 0.0000
La: 0.7156 0.1137 0.0000
La: 0.7844 0.6137 0.5000
La: 0.8315 0.9211 0.5000
La: 0.9299 0.7506 0.0000
Nd: 0.0000 0.5000 0.0000
Nd: 0.1187 0.7143 0.5000
Nd: 0.3813 0.2143 0.0000
Nd: 0.5000 0.0000 0.5000
Nd: 0.6187 0.7857 0.0000
Nd: 0.8813 0.2857 0.5000
Hg: 0.0000 0.0000 0.0000
Hg: 0.5000 0.5000 0.5000

B | This record from the Alexandria database describes a relaxed La6Nd3Hg crystal. The functional is PBE.

a b c (Å): 11.2279 5.2930 11.7422
angles (deg): 90.00 94.07 90.00
Fractional positions:
La: 0.0409 0.2500 0.3827
La: 0.1231 0.7500 0.1759
La: 0.1597 0.2500 0.6752
La: 0.2234 0.2500 0.9876
La: 0.3500 0.7500 0.7938
La: 0.4525 0.2500 0.5988
La: 0.5475 0.7500 0.4012
La: 0.6500 0.2500 0.2062
La: 0.7766 0.7500 0.0124
La: 0.8403 0.7500 0.3248
La: 0.8769 0.2500 0.8241
La: 0.9591 0.7500 0.6173
Nd: 0.2436 0.7500 0.4833
Nd: 0.3410 0.2500 0.2914
Nd: 0.4481 0.7500 0.0950
Nd: 0.5519 0.2500 0.9050
Nd: 0.6590 0.7500 0.7086
Nd: 0.7564 0.2500 0.5167
Hg: 0.0682 0.7500 0.8838
Hg: 0.9318 0.2500 0.1162

Order of stability, best first: B, A